(1)
A plane-wave DFT calculation with PBE was carried out for an optimized crystal structure of LiTlNi.

Computed properties:
- total DFT energy (no corrections) (eV per atom) = -3.281
- mass density (g/cm3) = 9.29

CIF file:
```
data_LiTlNi
_symmetry_space_group_name_H-M 'P 3 m 1'
_symmetry_Int_Tables_number 156
_cell_length_a 4.3605
_cell_length_b 4.3605
_cell_length_c 2.9309
_cell_angle_alpha 90.00
_cell_angle_beta 90.00
_cell_angle_gamma 120.00
loop_
_symmetry_equiv_pos_as_xyz
'x,y,z'
'-y,x-y,z'
'-x+y,-x,z'
'-y,-x,z'
'-x+y,y,z'
'x,x-y,z'
loop_
_atom_site_label
_atom_site_fract_x
_atom_site_fract_y
_atom_site_fract_z
Li1 0.0000 0.0000 0.0000
Tl1 0.3333 0.6667 0.6100
Ni1 0.6667 0.3333 0.2498
```



(2)
A plane-wave DFT calculation with PBE was carried out for an optimized crystal structure of CrTc2B2.

Computed properties:
- total DFT energy (no corrections) (eV per atom) = -9.050
- mass density (g/cm3) = 8.71

CIF file:
```
data_CrTc2B2
_symmetry_space_group_name_H-M 'P 4/m b m'
_symmetry_Int_Tables_number 127
_symmetry_space_group_name_Hall '-P 4 2ab'
_cell_length_a 5.878
_cell_length_b 5.878
_cell_length_c 2.975
_cell_angle_alpha 90.00
_cell_angle_beta 90.00
_cell_angle_gamma 90.00
loop_
_atom_site_label
_atom_site_fract_x
_atom_site_fract_y
_atom_site_fract_z
Cr1 0.000 0.000 0.000
Tc1 0.171 0.329 0.500
B1 0.119 0.619 0.000
```



(3)
A plane-wave DFT calculation with PBE was carried out for an optimized crystal structure of HfNb2SnPd.

Computed properties:
- total DFT energy (no corrections) (eV per atom) = -6.707
- mass density (g/cm3) = 8.15

CIF file:
```
data_HfNb2SnPd
_symmetry_space_group_name_H-M 'P 4/m m m'
_symmetry_Int_Tables_number 123
_symmetry_space_group_name_Hall '-P 4 2'
_cell_length_a 4.976
_cell_length_b 4.976
_cell_length_c 4.847
_cell_angle_alpha 90.00
_cell_angle_beta 90.00
_cell_angle_gamma 90.00
loop_
_atom_site_label
_atom_site_fract_x
_atom_site_fract_y
_atom_site_fract_z
Hf1 0.000 0.000 0.000
Nb1 0.000 0.500 0.000
Sn1 0.500 0.500 0.500
Pd1 0.000 0.000 0.500
```



(4)
A plane-wave DFT calculation with PBE was carried out for an optimized crystal structure of Pr3Si2C2.

Computed properties:
- formation energy without anion corrections (eV per atom) = -0.387
- mass density (g/cm3) = 5.50

CIF file:
```
data_Pr3Si2C2
_symmetry_space_group_name_H-M 'C m m m'
_symmetry_Int_Tables_number 65
_symmetry_space_group_name_Hall '-C 2 2'
_cell_length_a 4.311
_cell_length_b 16.563
_cell_length_c 4.253
_cell_angle_alpha 90.00
_cell_angle_beta 90.00
_cell_angle_gamma 90.00
loop_
_atom_site_label
_atom_site_fract_x
_atom_site_fract_y
_atom_site_fract_z
Pr1 0.000 0.000 0.000
Pr2 0.000 0.343 0.500
Si1 0.000 0.200 0.000
C1 0.150 0.500 0.500
```



(5)
A plane-wave DFT calculation with PBE was carried out for an optimized crystal structure of BaZrAl2.

Computed properties:
- total DFT energy (no corrections) (eV per atom) = -4.155
- mass density (g/cm3) = 4.68

CIF file:
```
data_BaZrAl2
_symmetry_space_group_name_H-M 'I -4 m 2'
_symmetry_Int_Tables_number 119
_symmetry_space_group_name_Hall 'I -4 -2'
_cell_length_a 4.548
_cell_length_b 4.548
_cell_length_c 9.687
_cell_angle_alpha 90.00
_cell_angle_beta 90.00
_cell_angle_gamma 90.00
loop_
_atom_site_label
_atom_site_fract_x
_atom_site_fract_y
_atom_site_fract_z
Ba1 0.000 0.000 0.000
Zr1 0.000 0.500 0.750
Al1 0.000 0.000 0.500
Al2 0.000 0.500 0.250
```



(6)
A plane-wave DFT calculation with PBE was carried out for an optimized crystal structure of MgTc2Pb.

Computed properties:
- total DFT energy (no corrections) (eV per atom) = -6.079
- mass density (g/cm3) = 9.85

CIF file:
```
data_MgTc2Pb
_symmetry_space_group_name_H-M 'C 1 m 1'
_symmetry_Int_Tables_number 8
_cell_length_a 10.005
_cell_length_b 3.182
_cell_length_c 4.810
_cell_angle_alpha 90.00
_cell_angle_beta 109.70
_cell_angle_gamma 90.00
loop_
_symmetry_equiv_pos_as_xyz
'x,y,z'
'x,-y,z'
'x+1/2,y+1/2,z'
'x+1/2,-y+1/2,z'
loop_
_atom_site_label
_atom_site_fract_x
_atom_site_fract_y
_atom_site_fract_z
Mg1 0.000 0.000 0.000
Tc1 0.258 0.500 0.208
Tc2 0.462 0.000 0.467
Pb1 0.220 0.000 0.681
```



(7)
A plane-wave DFT calculation with PBE was carried out for an optimized crystal structure of AlOsRu3.

Computed properties:
- total DFT energy (no corrections) (eV per atom) = -6.980
- mass density (g/cm3) = 8.54

CIF file:
```
data_AlOsRu3
_symmetry_space_group_name_H-M 'P m -3 m'
_symmetry_Int_Tables_number 221
_symmetry_space_group_name_Hall '-P 4 2 3'
_cell_length_a 4.660
_cell_length_b 4.660
_cell_length_c 4.660
_cell_angle_alpha 90.00
_cell_angle_beta 90.00
_cell_angle_gamma 90.00
loop_
_atom_site_label
_atom_site_fract_x
_atom_site_fract_y
_atom_site_fract_z
Al1 0.000 0.000 0.000
Os1 0.500 0.500 0.500
Ru1 0.000 0.500 0.500
```



(8)
A plane-wave DFT calculation with PBE was carried out for an optimized crystal structure of TaTiAl4.

Computed properties:
- total DFT energy (no corrections) (eV per atom) = -6.051
- mass density (g/cm3) = 5.88

CIF file:
```
data_TaTiAl4
_symmetry_space_group_name_H-M 'F -4 3 m'
_symmetry_Int_Tables_number 216
_symmetry_space_group_name_Hall 'F -4 2 3'
_cell_length_a 7.246
_cell_length_b 7.246
_cell_length_c 7.246
_cell_angle_alpha 90.00
_cell_angle_beta 90.00
_cell_angle_gamma 90.00
loop_
_atom_site_label
_atom_site_fract_x
_atom_site_fract_y
_atom_site_fract_z
Ta1 0.000 0.000 0.000
Ti1 0.250 0.250 0.250
Al1 0.125 0.125 0.625
```